Computed, not measured: crystalline K2SnS4 at its relaxed geometry at the PBE level of DFT.

Cell and atoms, written as CIF:
```
data_K2SnS4
_symmetry_space_group_name_H-M 'F m m m'
_symmetry_Int_Tables_number 69
_symmetry_space_group_name_Hall '-F 2 2'
_cell_length_a 9.377
_cell_length_b 9.482
_cell_length_c 9.515
_cell_angle_alpha 90.00
_cell_angle_beta 90.00
_cell_angle_gamma 90.00
loop_
_atom_site_label
_atom_site_fract_x
_atom_site_fract_y
_atom_site_fract_z
_atom_site_occupancy
K1 0.250 0.250 0.250 1
Sn1 0.000 0.000 0.000 1
S1 0.000 0.000 0.257 1
S2 0.000 0.242 0.500 1
```

Properties
**Formation energy from raw total energies**: -0.39 eV/atom
**Total moment**: 0.00 μB per formula unit
**Polymorph energy (0 for the lowest one)**: 0.27 eV/f.u.